(1)
## Zr2Tl3FeSe6 (GGA-PBE)

Data for crystalline Zr2Tl3FeSe6 at its relaxed geometry.

Cell: 6.6695 11.5626 8.2759 Å, 90.00 105.68 90.00°
Space group C2/m (No. 12)
One atom of each set of equivalent atoms:
1 Zr 0.0000 0.1658 0.0000
2 Tl 0.0000 0.0000 0.5000
3 Tl 0.0000 0.3288 0.5000
4 Fe 0.0000 0.5000 0.0000
5 Se 0.2260 0.3379 0.1926
6 Se 0.2405 0.0000 0.1950

Calculated volume, Å³ per cell: 614
Crystal system: monoclinic
Formation energy without anion corrections, eV/atom: -0.758

(2)
## Be2NbGa2 (GGA-PBE)

Data for crystalline Be2NbGa2 at its relaxed geometry.

Cell: 6.9824 6.9824 2.7829 Å, 90.00 90.00 90.00°
Space group P4/mbm (No. 127)
One atom of each set of equivalent atoms:
1 Be 0.1648 0.3352 0.0000
2 Nb 0.0000 0.0000 0.5000
3 Ga 0.1340 0.6340 0.5000

Calculated volume, Å³ per cell: 136
Crystal system: tetragonal
Energy of formation, kcal/mol of atoms: 2.21

- Among the records above, which one has the highest calculated volume?
  Zr2Tl3FeSe6

- The lowest calculated volume belongs to which entry?
  Be2NbGa2

Please write out number 1 again, unchanged.
## Zr2Tl3FeSe6 (GGA-PBE)

Data for crystalline Zr2Tl3FeSe6 at its relaxed geometry.

Cell: 6.6695 11.5626 8.2759 Å, 90.00 105.68 90.00°
Space group C2/m (No. 12)
One atom of each set of equivalent atoms:
1 Zr 0.0000 0.1658 0.0000
2 Tl 0.0000 0.0000 0.5000
3 Tl 0.0000 0.3288 0.5000
4 Fe 0.0000 0.5000 0.0000
5 Se 0.2260 0.3379 0.1926
6 Se 0.2405 0.0000 0.1950

Calculated volume, Å³ per cell: 614
Crystal system: monoclinic
Formation energy without anion corrections, eV/atom: -0.758

- Among the records above, which one has the highest calculated volume?
  Zr2Tl3FeSe6